Entry from the Alexandria database: an optimized crystal structure of Sr2TaCrO6 (PBE with a Hubbard U).

- electronic total energy (eV for the cell shown) = -80.6
- symmetry = C2/m (12)

Lattice parameters (Å, degrees): 5.640 5.640 5.665 120.13 120.13 60.00
Positions (direct):
Sr 0.250 0.250 0.247
Sr 0.750 0.750 0.753
Ta 0.000 0.000 0.500
Cr 0.500 0.500 0.000
O 0.224 0.726 0.227
O 0.249 0.249 0.701
O 0.274 0.776 0.773
O 0.726 0.224 0.227
O 0.751 0.751 0.299
O 0.776 0.274 0.773